The following is a GGA-PBE calculation of a relaxed structure of CuAgTe, from OQMD via LeMat-Bulk.

abc: 4.4042 4.4042 7.3186
angles: 90.00 90.00 120.00
Last column: nearest neighbours and their distance in Å.
Fractional coordinates of all 6 atoms:
Cu1 0.6667 0.3333 0.5764  4 Te 2.70-2.74, 3 Ag 2.76
Cu2 0.3333 0.6667 0.0764  4 Te 2.70-2.74, 3 Ag 2.76
Ag1 0.0000 0.0000 0.7228  3 Cu 2.76, 3 Te 3.04
Te1 0.6667 0.3333 0.9508  4 Cu 2.70-2.74
Te2 0.3333 0.6667 0.4508  4 Cu 2.70-2.74
Ag2 0.0000 0.0000 0.2228  3 Cu 2.76, 3 Te 3.04

Summary:
Space-group type: P6_3mc, No. 186
Distance to the lowest polymorph of the same formula in meV per atom: 3.2

The following is a GGA-PBE calculation of a relaxed structure of ThCu4Ag, from OQMD via LeMat-Bulk.

abc: 5.1363 5.1363 5.1363
angles: 60.00 60.00 60.00
Last column: nearest neighbours and their distance in Å.
Fractional coordinates of all 6 atoms:
Cu1 0.1194 0.6269 0.6269  6 Cu 2.53-2.61
Cu2 0.6269 0.6269 0.1194  6 Cu 2.53-2.61
Ag1 0.0000 0.0000 0.0000  12 Cu 3.01, 4 Th 3.15
Cu3 0.6269 0.6269 0.6269  6 Cu 2.53-2.61
Th1 0.2500 0.2500 0.2500  12 Cu 3.02, 4 Ag 3.15
Cu4 0.6269 0.1194 0.6269  6 Cu 2.53-2.61

Summary:
Space-group type: F-43m, No. 216
Formation enthalpy at 0 K in eV per atom: -0.186
Spin magnetization in μB/f.u.: 0.00

The following is a GGA-PBE calculation of a relaxed structure of TlZnCuAg, from OQMD via LeMat-Bulk.

abc: 4.6657 4.6657 4.6657
angles: 60.00 60.00 60.00
Last column: nearest neighbours and their distance in Å.
Fractional coordinates of all 4 atoms:
Cu1 0.7500 0.7500 0.7500  4 Ag 2.86, 4 Tl 2.86
Tl1 0.0000 0.0000 0.0000  4 Zn 2.86, 4 Cu 2.86
Ag1 0.5000 0.5000 0.5000  4 Zn 2.86, 4 Cu 2.86
Zn1 0.2500 0.2500 0.2500  4 Ag 2.86, 4 Tl 2.86

Summary:
Space-group type: F-43m, No. 216
Distance to the lowest polymorph of the same formula in meV per atom: 0.0

Number 1: uncorrected energy -0.236 Ry/atom. Number 2: uncorrected energy -0.321 Ry/atom. Number 3: uncorrected energy -0.172 Ry/atom.